Entry 1:
{
  "formula": "OsRuPt3",
  "functional": "PBE-GGA",
  "state": "relaxed",
  "density_g_cm3": 13.6,
  "polymorph_energy_mev_per_atom": 0,
  "spacegroup": "Pm-3m, No. 221",
  "formation_energy_ev_per_atom": 1.86,
  "cell": [[-3.399, 3.220, 0.805], [-2.612, -1.885, -3.492], [-2.047, -2.941, 3.120]],
  "species": ["Ru", "Os", "Pt", "Pt", "Pt"],
  "frac_coords": [[0.500, 0.500, 0.500], [0.000, 0.000, 0.000], [0.000, 0.500, 0.000], [0.000, 0.000, 0.500], [0.500, 0.000, 0.000]]
}


Entry 2:
{
  "formula": "MnRuRh",
  "functional": "PBE-GGA",
  "state": "relaxed",
  "density_g_cm3": 10.6,
  "polymorph_energy_mev_per_atom": 71,
  "spacegroup": "C2, No. 5",
  "formation_energy_ev_per_atom": 0.02,
  "cell": [[-4.601, -0.607, -0.393], [-0.205, -3.204, 7.348], [0.902, 4.157, 1.838]],
  "species": ["Mn", "Mn", "Mn", "Mn", "Ru", "Ru", "Ru", "Ru", "Rh", "Rh", "Rh", "Rh"],
  "frac_coords": [[0.500, 0.184, 0.500], [0.500, 0.684, 0.000], [0.000, 0.507, 0.000], [0.000, 0.007, 0.500], [0.500, 0.851, 0.500], [0.500, 0.351, 0.000], [0.500, 0.514, 0.500], [0.500, 0.014, 0.000], [0.000, 0.178, 0.000], [0.000, 0.678, 0.500], [0.000, 0.845, 0.000], [0.000, 0.345, 0.500]]
}


Entry 3:
{
  "formula": "Y2MoH2",
  "functional": "PBE-GGA",
  "state": "relaxed",
  "density_g_cm3": 5.7,
  "spacegroup": "I4/mmm, No. 139",
  "cell": [[3.417, 0.000, 0.000], [0.000, 3.417, 0.000], [1.709, 1.709, 6.869]],
  "species": ["Y", "Y", "H", "H", "Mo"],
  "frac_coords": [[0.357, 0.357, 0.287], [0.643, 0.643, 0.713], [0.750, 0.250, 0.500], [0.250, 0.750, 0.500], [0.000, 0.000, 0.000]]
}


Entry 4:
{
  "formula": "NaLa2P2",
  "functional": "PBE-GGA",
  "state": "relaxed",
  "density_g_cm3": 4.8,
  "polymorph_energy_mev_per_atom": 0,
  "spacegroup": "P4/mbm, No. 127",
  "formation_energy_ev_per_atom": -1.09,
  "cell": [[-7.039, 3.560, 1.431], [-3.668, -5.367, -4.691], [-0.554, -2.350, 3.122]],
  "species": ["P", "P", "P", "P", "Na", "Na", "La", "La", "La", "La"],
  "frac_coords": [[0.342, 0.842, 0.000], [0.842, 0.658, 0.000], [0.658, 0.158, 0.000], [0.158, 0.342, 0.000], [0.000, 0.000, 0.000], [0.500, 0.500, 0.000], [0.149, 0.649, 0.500], [0.649, 0.851, 0.500], [0.851, 0.351, 0.500], [0.351, 0.149, 0.500]]
}


Entry 5:
{
  "formula": "Pr8CuRh3Cl4",
  "functional": "PBE-GGA",
  "state": "relaxed",
  "density_g_cm3": 6.0,
  "formation_energy_uncorrected_ev_per_atom": -1.057,
  "spacegroup": "C2/m, No. 12",
  "cell": [[-2.978, -7.201, -2.841], [8.013, -1.917, -3.542], [-0.305, 1.703, 8.110]],
  "species": ["Pr", "Pr", "Pr", "Pr", "Pr", "Pr", "Pr", "Pr", "Cu", "Rh", "Rh", "Rh", "Cl", "Cl", "Cl", "Cl"],
  "frac_coords": [[0.238, 0.705, 0.968], [0.238, 0.705, 0.475], [0.264, 0.292, 0.528], [0.730, 0.705, 0.968], [0.270, 0.295, 0.032], [0.736, 0.708, 0.472], [0.762, 0.295, 0.525], [0.762, 0.295, 0.032], [0.000, 0.500, 0.000], [0.500, 0.500, 0.000], [0.500, 0.500, 0.500], [0.000, 0.500, 0.500], [0.500, 0.000, 0.000], [0.500, 0.000, 0.500], [0.000, 0.000, 0.000], [0.000, 0.000, 0.500]]
}


Entry 6:
{
  "formula": "NbTePdBr2",
  "functional": "PBE-GGA",
  "state": "relaxed",
  "density_g_cm3": 6.1,
  "formation_energy_uncorrected_ev_per_atom": 0.328,
  "spacegroup": "P4/mmm, No. 123",
  "cell": [[4.957, 0.000, 0.000], [0.000, 5.438, 0.000], [0.000, 0.000, 4.957]],
  "species": ["Nb", "Te", "Br", "Br", "Pd"],
  "frac_coords": [[0.000, 0.000, 0.000], [0.500, 0.500, 0.500], [0.000, 0.000, 0.500], [0.500, 0.000, 0.000], [0.000, 0.500, 0.000]]
}


Entry 7:
{
  "formula": "Tm5ZnNi4",
  "functional": "PBE-GGA",
  "state": "relaxed",
  "density_g_cm3": 10.0,
  "spacegroup": "P4/mmm, No. 123",
  "formation_energy_ev_per_atom": -0.43,
  "cell": [[3.353, 0.000, 0.000], [0.000, 3.353, 0.000], [0.000, 0.000, 16.975]],
  "species": ["Tm", "Tm", "Tm", "Tm", "Tm", "Zn", "Ni", "Ni", "Ni", "Ni"],
  "frac_coords": [[0.500, 0.500, 0.112], [0.500, 0.500, 0.305], [0.500, 0.500, 0.500], [0.500, 0.500, 0.695], [0.500, 0.500, 0.888], [0.000, 0.000, 0.000], [0.000, 0.000, 0.206], [0.000, 0.000, 0.403], [0.000, 0.000, 0.597], [0.000, 0.000, 0.794]]
}


Entry 8:
{
  "formula": "Mg2ZnSb",
  "functional": "PBE-GGA",
  "state": "relaxed",
  "density_g_cm3": 4.3,
  "polymorph_energy_mev_per_atom": 0,
  "formation_energy_uncorrected_ev_per_atom": -0.141,
  "spacegroup": "Pm, No. 6",
  "cell": [[4.187, 0.000, 0.000], [0.000, 4.203, -0.100], [0.000, 1.906, 5.109]],
  "species": ["Mg", "Mg", "Sb", "Zn"],
  "frac_coords": [[0.000, 0.012, 0.889], [0.500, 0.253, 0.341], [0.000, 0.705, 0.454], [0.500, 0.530, 0.816]]
}


no.,calculated total energy (eV for the cell shown)
1,-29.33
2,-102.95
3,-30.87
4,-54.90
5,-88.69
6,-20.11
7,-51.06
8,-9.15